# 1
Below is a crystal of LiInTe2 relaxed with PBEsol, with properties calculated at the meta-GGA SCAN level.

Cell lengths 3.3280, 3.3280, 9.3088 Å; angles 90.00, 90.00, 90.00 degrees
Space group P4/mmm (No. 123)
Inequivalent atoms, fractional coordinates:
Li 0.0000 0.0000 0.0000 x1
In 0.0000 0.0000 0.5000 x1
Te 0.5000 0.5000 0.2157 x2

Output
M_tot, μB per formula unit: 0.0
Calculated volume, Å³/cell: 103
Fermi-level density of states, states/eV/atom: 0.30
Formation energy without anion corrections, eV per atom: -0.300

=====

# 2
Below is a crystal of LiIn2Te relaxed with PBEsol, with properties calculated at the meta-GGA SCAN level.

Cell lengths 3.9201, 3.9201, 6.4449 Å; angles 90.00, 90.00, 90.00 degrees
Space group P4mm (No. 99)
Inequivalent atoms, fractional coordinates:
Li 0.0000 0.0000 0.0000 x1
In 0.0000 0.0000 0.4593 x1
In 0.5000 0.5000 0.6900 x1
Te 0.5000 0.5000 0.1490 x1

Output
M_tot, μB per formula unit: 0.0
Calculated volume, Å³/cell: 99
Fermi-level density of states, states/eV/atom: 0.28
Formation energy without anion corrections, eV per atom: -0.279

=====

# 3
Below is a crystal of LiInTe2 relaxed with PBEsol, with properties calculated at the meta-GGA SCAN level.

Cell lengths 7.4889, 7.4889, 7.4889 Å; angles 90.00, 90.00, 90.00 degrees
Space group F-43m (No. 216)
Inequivalent atoms, fractional coordinates:
Li 0.0000 0.0000 0.0000 x4
In 0.2500 0.2500 0.7500 x4
Te 0.0000 0.0000 0.5000 x4
Te 0.2500 0.2500 0.2500 x4

Output
M_tot, μB per formula unit: 0.0
Calculated volume, Å³/cell: 420
Fermi-level density of states, states/eV/atom: 0.52
Formation energy without anion corrections, eV per atom: -0.067

=====

# 4
Below is a crystal of Li2InTe relaxed with PBEsol, with properties calculated at the meta-GGA SCAN level.

Cell lengths 7.3275, 7.3275, 7.3275 Å; angles 90.00, 90.00, 90.00 degrees
Space group F-43m (No. 216)
Inequivalent atoms, fractional coordinates:
Li 0.0000 0.0000 0.0000 x4
Li 0.2500 0.2500 0.2500 x4
In 0.0000 0.0000 0.5000 x4
Te 0.2500 0.2500 0.7500 x4

Output
M_tot, μB per formula unit: 0.0
Calculated volume, Å³/cell: 393
Fermi-level density of states, states/eV/atom: 0.37
Polymorph energy (0 for the lowest one), meV per atom: 327.4
Formation energy without anion corrections, eV per atom: -0.248

=====

# 5
Below is a crystal of Li2InTe relaxed with PBEsol, with properties calculated at the meta-GGA SCAN level.

Cell lengths 7.0538, 7.0538, 7.0538 Å; angles 90.00, 90.00, 90.00 degrees
Space group Fm-3m (No. 225)
Inequivalent atoms, fractional coordinates:
Li 0.2500 0.2500 0.2500 x8
In 0.0000 0.0000 0.0000 x4
Te 0.0000 0.0000 0.5000 x4

Output
M_tot, μB per formula unit: 0.0
Calculated volume, Å³/cell: 351
Fermi-level density of states, states/eV/atom: 0.33
Polymorph energy (0 for the lowest one), meV per atom: 119.5
Formation energy without anion corrections, eV per atom: -0.456

=====

# 6
Below is a crystal of LiInTe2 relaxed with PBEsol, with properties calculated at the meta-GGA SCAN level.

Cell lengths 5.2961, 5.9746, 3.3051 Å; angles 90.00, 90.00, 90.00 degrees
Space group Pmm2 (No. 25)
Inequivalent atoms, fractional coordinates:
Li 0.0000 0.0000 0.0000 x1
In 0.5000 0.5000 0.4932 x1
Te 0.0000 0.5000 0.9982 x1
Te 0.5000 0.0000 0.5018 x1

Output
M_tot, μB per formula unit: 0.0
Calculated volume, Å³/cell: 105
Fermi-level density of states, states/eV/atom: 0.37
Formation energy without anion corrections, eV per atom: -0.461

=====

# 7
Below is a crystal of LiTlIn2 relaxed with PBEsol, with properties calculated at the meta-GGA SCAN level.

Cell lengths 7.2492, 7.2492, 7.2492 Å; angles 90.00, 90.00, 90.00 degrees
Space group F-43m (No. 216)
Inequivalent atoms, fractional coordinates:
Li 0.0000 0.0000 0.0000 x4
Tl 0.2500 0.2500 0.2500 x4
In 0.0000 0.0000 0.5000 x4
In 0.2500 0.2500 0.7500 x4

Output
M_tot, μB per formula unit: 0.0
Calculated formation energy, eV/atom: -0.114
Calculated volume, Å³/cell: 381
Fermi-level density of states, states/eV/atom: 0.20

=====

# 8
Below is a crystal of LiTlIn2 relaxed with PBEsol, with properties calculated at the meta-GGA SCAN level.

Cell lengths 4.3830, 4.3830, 9.6937 Å; angles 90.00, 90.00, 90.00 degrees
Space group I4/mmm (No. 139)
Inequivalent atoms, fractional coordinates:
Li 0.0000 0.0000 0.0000 x2
Tl 0.0000 0.0000 0.5000 x2
In 0.0000 0.5000 0.2500 x4

Output
M_tot, μB per formula unit: 0.0
Calculated formation energy, eV/atom: -0.146
Calculated volume, Å³/cell: 186
Fermi-level density of states, states/eV/atom: 0.31

=====

# 9
Below is a crystal of LiTlIn2 relaxed with PBEsol, with properties calculated at the meta-GGA SCAN level.

Cell lengths 3.4446, 4.2664, 6.3612 Å; angles 90.00, 90.00, 90.00 degrees
Space group Pmm2 (No. 25)
Inequivalent atoms, fractional coordinates:
Li 0.0000 0.0000 0.0000 x1
Tl 0.5000 0.5000 0.2398 x1
In 0.0000 0.0000 0.5109 x1
In 0.5000 0.5000 0.7561 x1

Output
M_tot, μB per formula unit: 0.0
Calculated formation energy, eV/atom: -0.125
Calculated volume, Å³/cell: 93
Fermi-level density of states, states/eV/atom: 0.40

=====

# 10
Below is a crystal of LiTlIn2 relaxed with PBEsol, with properties calculated at the meta-GGA SCAN level.

Cell lengths 3.3995, 5.0805, 5.5563 Å; angles 90.00, 90.00, 90.00 degrees
Space group Pmm2 (No. 25)
Inequivalent atoms, fractional coordinates:
Li 0.0000 0.0000 0.0000 x1
Tl 0.0000 0.5000 0.3137 x1
In 0.5000 0.0000 0.5144 x1
In 0.5000 0.5000 0.8269 x1

Output
M_tot, μB per formula unit: 0.0
Calculated formation energy, eV/atom: -0.124
Calculated volume, Å³/cell: 96
Fermi-level density of states, states/eV/atom: 0.32

=====

# 11
Below is a crystal of LiTlIn2 relaxed with PBEsol, with properties calculated at the meta-GGA SCAN level.

Cell lengths 4.5331, 4.5331, 9.1188 Å; angles 90.00, 90.00, 90.00 degrees
Space group I-4m2 (No. 119)
Inequivalent atoms, fractional coordinates:
Li 0.0000 0.0000 0.0000 x2
Tl 0.0000 0.5000 0.2500 x2
In 0.0000 0.0000 0.5000 x2
In 0.0000 0.5000 0.7500 x2

Output
M_tot, μB per formula unit: 0.0
Calculated formation energy, eV/atom: -0.131
Calculated volume, Å³/cell: 187
Fermi-level density of states, states/eV/atom: 0.39

=====

# 12
Below is a crystal of LiTlIn2 relaxed with PBEsol, with properties calculated at the meta-GGA SCAN level.

Cell lengths 10.1521, 3.4011, 5.5372 Å; angles 90.00, 99.31, 90.00 degrees
Space group Cm (No. 8)
Inequivalent atoms, fractional coordinates:
Li 0.0000 0.0000 0.0000 x2
Tl 0.2487 0.5000 0.2293 x2
In 0.0044 0.5000 0.5074 x2
In 0.2554 0.0000 0.7500 x2

Output
M_tot, μB per formula unit: 0.0
Calculated formation energy, eV/atom: -0.132
Calculated volume, Å³/cell: 189
Fermi-level density of states, states/eV/atom: 0.34

=====

# 13
Below is a crystal of LiTlIn2 relaxed with PBEsol, with properties calculated at the meta-GGA SCAN level.

Cell lengths 6.1428, 9.3018, 3.3156 Å; angles 90.00, 90.00, 90.00 degrees
Space group Cmmm (No. 65)
Inequivalent atoms, fractional coordinates:
Li 0.0000 0.0000 0.0000 x2
Tl 0.0000 0.5000 0.0000 x2
In 0.2500 0.2500 0.5000 x4

Output
M_tot, μB per formula unit: 0.0
Calculated formation energy, eV/atom: -0.113
Calculated volume, Å³/cell: 189
Fermi-level density of states, states/eV/atom: 0.37

=====

# 14
Below is a crystal of LiTlIn2 relaxed with PBEsol, with properties calculated at the meta-GGA SCAN level.

Cell lengths 3.3736, 3.3736, 28.8104 Å; angles 90.00, 90.00, 120.00 degrees
Space group R-3m (No. 166, hexagonal axes)
Inequivalent atoms, fractional coordinates:
Li 0.0000 0.0000 0.0000 x3
Tl 0.0000 0.0000 0.5000 x3
In 0.0000 0.0000 0.2567 x6

Output
M_tot, μB per formula unit: 0.0
Calculated formation energy, eV/atom: -0.087
Calculated volume, Å³/cell: 284
Fermi-level density of states, states/eV/atom: 0.39

=====

# 15
Below is a crystal of Li5TlIn relaxed with PBEsol, with properties calculated at the meta-GGA SCAN level.

Cell lengths 4.6502, 4.6502, 20.0875 Å; angles 90.00, 90.00, 120.00 degrees
Space group R3m (No. 160, hexagonal axes)
Inequivalent atoms, fractional coordinates:
Li 0.0000 0.0000 0.0000 x3
Li 0.0000 0.0000 0.1405 x3
Li 0.0000 0.0000 0.2897 x3
Li 0.0000 0.0000 0.4349 x3
Li 0.0000 0.0000 0.5760 x3
Tl 0.0000 0.0000 0.8619 x3
In 0.0000 0.0000 0.7154 x3

Output
M_tot, μB per formula unit: 0.0
Calculated formation energy, eV/atom: -0.354
Calculated volume, Å³/cell: 376
Fermi-level density of states, states/eV/atom: 0.34

=====

# 16
Below is a crystal of Li3TlIn relaxed with PBEsol, with properties calculated at the meta-GGA SCAN level.

Cell lengths 5.1005, 5.1005, 5.1005 Å; angles 90.00, 90.00, 90.00 degrees
Space group Pm-3m (No. 221)
Inequivalent atoms, fractional coordinates:
Li 0.0000 0.0000 0.5000 x3
Tl 0.5000 0.5000 0.5000 x1
In 0.0000 0.0000 0.0000 x1

Output
M_tot, μB per formula unit: 0.0
Calculated formation energy, eV/atom: 0.099
Calculated volume, Å³/cell: 133
Fermi-level density of states, states/eV/atom: 0.70

=====

# 17
Below is a crystal of LiTlIn2 relaxed with PBEsol, with properties calculated at the meta-GGA SCAN level.

Cell lengths 3.2427, 3.2427, 8.7651 Å; angles 90.00, 90.00, 90.00 degrees
Space group P4/mmm (No. 123)
Inequivalent atoms, fractional coordinates:
Li 0.0000 0.0000 0.0000 x1
Tl 0.0000 0.0000 0.5000 x1
In 0.5000 0.5000 0.2129 x2

Output
M_tot, μB per formula unit: 0.0
Calculated formation energy, eV/atom: -0.138
Calculated volume, Å³/cell: 92
Fermi-level density of states, states/eV/atom: 0.35

=====

# 18
Below is a crystal of LiTlIn2 relaxed with PBEsol, with properties calculated at the meta-GGA SCAN level.

Cell lengths 3.2436, 3.2436, 8.7301 Å; angles 90.00, 90.00, 90.00 degrees
Space group P4mm (No. 99)
Inequivalent atoms, fractional coordinates:
Li 0.0000 0.0000 0.0000 x1
Tl 0.5000 0.5000 0.7739 x1
In 0.0000 0.0000 0.4881 x1
In 0.5000 0.5000 0.2169 x1

Output
M_tot, μB per formula unit: 0.0
Calculated formation energy, eV/atom: -0.122
Calculated volume, Å³/cell: 92
Fermi-level density of states, states/eV/atom: 0.35

=====

# 19
Below is a crystal of LiTlIn2 relaxed with PBEsol, with properties calculated at the meta-GGA SCAN level.

Cell lengths 3.3515, 5.3284, 5.4000 Å; angles 90.00, 92.72, 90.00 degrees
Space group P2/m (No. 10)
Inequivalent atoms, fractional coordinates:
Li 0.0000 0.0000 0.0000 x1
Tl 0.5000 0.0000 0.5000 x1
In 0.2356 0.5000 0.7568 x2

Output
M_tot, μB per formula unit: 0.0
Calculated formation energy, eV/atom: -0.097
Calculated volume, Å³/cell: 96
Fermi-level density of states, states/eV/atom: 0.37

=====

# 20
Below is a crystal of LiTmIn2 relaxed with PBEsol, with properties calculated at the meta-GGA SCAN level.

Cell lengths 7.0762, 7.0762, 7.0762 Å; angles 90.00, 90.00, 90.00 degrees
Space group Fm-3m (No. 225)
Inequivalent atoms, fractional coordinates:
Li 0.0000 0.0000 0.0000 x4
Tm 0.0000 0.0000 0.5000 x4
In 0.2500 0.2500 0.2500 x8

Output
M_tot, μB per formula unit: 0.0
Calculated formation energy, eV/atom: -0.508
Calculated volume, Å³/cell: 354
Fermi-level density of states, states/eV/atom: 0.22